Record 1
Here is a relaxed PrPuNiAu crystal from the Alexandria database. Energies are from PBE-GGA.

Computed properties:
calculated formation energy	-0.259	eV per atom
space group	F-43m (216)
volume	23.23	Å³/atom

Cell: 5.0839 5.0839 5.0839 Å, 60.00 60.00 60.00°
Closest atoms and distances in Å follow each position.
Element x y z (fractional)
Pr 0.0000 0.0000 0.0000  4 Ni 3.11, 4 Au 3.11
Pu 0.5000 0.5000 0.5000  4 Ni 3.11, 4 Au 3.11
Ni 0.7500 0.7500 0.7500  4 Pr 3.11, 4 Pu 3.11
Au 0.2500 0.2500 0.2500  4 Pr 3.11, 4 Pu 3.11



Record 2
Here is a relaxed Rb6I3Br2O crystal from the Alexandria database. Energies are from PBE-GGA.

Computed properties:
uncorrected formation energy	-1.395	eV/atom
space group	C2/m (12)
volume	44.55	Å³/atom

Cell: 8.7216 8.7216 8.6186 Å, 99.76 99.76 119.93°
Closest atoms and distances in Å follow each position.
Element x y z (fractional)
Rb 0.0725 0.3848 0.2181  1 O 3.25, 2 Br 3.49, 1 I 3.63
Rb 0.2394 0.2394 0.7794  1 O 3.27, 2 Br 3.49
Rb 0.3848 0.0725 0.2181  1 O 3.25, 2 Br 3.49, 1 I 3.63
Rb 0.6152 0.9275 0.7819  1 O 3.25, 2 Br 3.49, 1 I 3.63
Rb 0.7606 0.7606 0.2206  1 O 3.27, 2 Br 3.49
Rb 0.9275 0.6152 0.7819  1 O 3.25, 2 Br 3.49, 1 I 3.63
I 0.1707 0.8293 0.5000  6 Rb 3.64-3.80
I 0.5000 0.5000 0.5000  6 Rb 3.63-3.83
I 0.8293 0.1707 0.5000  6 Rb 3.64-3.80
Br 0.3339 0.6661 0.0000  6 Rb 3.49
Br 0.6661 0.3339 0.0000  6 Rb 3.49
O 0.0000 0.0000 0.0000  6 Rb 3.25-3.27



Record 3
Here is a relaxed RbReNi crystal from the Alexandria database. Energies are from PBE-GGA.

Computed properties:
calculated formation energy	1.500	eV per atom
space group	P-6m2 (187)
volume	25.66	Å³/atom

Cell: 4.7095 4.7095 8.0156 Å, 90.00 90.00 120.00°
Closest atoms and distances in Å follow each position.
Element x y z (fractional)
Rb 0.0000 0.0000 0.0000  6 Re 2.95, 6 Ni 2.99
Rb 0.0000 0.0000 0.5000  6 Ni 3.87, 6 Re 3.95, 2 Rb 4.01
Re 0.6667 0.3333 0.1419  1 Re 2.28
Re 0.6667 0.3333 0.8581  1 Re 2.28
Ni 0.3333 0.6667 0.1558  1 Ni 2.50, 3 Re 2.72
Ni 0.3333 0.6667 0.8442  1 Ni 2.50, 3 Re 2.72



Record 4
Here is a relaxed La2InCoPb crystal from the Alexandria database. Energies are from PBE-GGA.

Computed properties:
calculated formation energy	-0.343	eV per atom
space group	P4/mmm (123)
volume	28.20	Å³/atom

Cell: 5.2827 5.2827 5.0534 Å, 90.00 90.00 90.00°
Closest atoms and distances in Å follow each position.
Element x y z (fractional)
La 0.0000 0.5000 0.0000  2 Co 2.64
La 0.5000 0.0000 0.0000  2 Co 2.64
In 0.0000 0.0000 0.5000  8 La 3.66, 4 Pb 3.74
Co 0.5000 0.5000 0.0000  2 Pb 2.53, 4 La 2.64
Pb 0.5000 0.5000 0.5000  2 Co 2.53



Record 5
Here is a relaxed AcAg2Au crystal from the Alexandria database. Energies are from PBE-GGA.

Computed properties:
calculated formation energy	-0.429	eV per atom
space group	Amm2 (38)
volume	24.25	Å³/atom

Cell: 7.4499 5.9990 5.9990 Å, 46.36 90.00 90.00°
Closest atoms and distances in Å follow each position.
Element x y z (fractional)
Ac 0.0000 0.0000 0.0000  7 Ag 3.25-3.33, 6 Au 3.53-3.60
Ac 0.5000 0.1763 0.1763  5 Ag 3.24-3.43, 4 Au 3.30
Ag 0.0000 0.2948 0.2948  4 Au 2.93, 2 Ag 2.94, 3 Ac 3.25-3.27
Ag 0.3094 0.4596 0.4596  4 Ag 2.84-2.94, 1 Au 2.87
Ag 0.5000 0.8826 0.8826  4 Ag 2.88, 2 Au 2.98
Ag 0.6906 0.4596 0.4596  4 Ag 2.84-2.94, 1 Au 2.87
Au 0.1949 0.7084 0.7084  4 Ag 2.87-2.98, 1 Au 2.90
Au 0.8051 0.7084 0.7084  4 Ag 2.87-2.98, 1 Au 2.90



Record 6
Here is a relaxed Li2YMg2Cd2 crystal from the Alexandria database. Energies are from PBE-GGA.

Computed properties:
calculated formation energy	-0.203	eV per atom
space group	C2/m (12)
volume	22.15	Å³/atom

Cell: 4.9827 4.9827 7.7485 Å, 108.26 108.26 59.80°
Closest atoms and distances in Å follow each position.
Element x y z (fractional)
Li 0.1481 0.1481 0.4468  1 Cd 2.70, 3 Li 2.96-2.98
Li 0.8519 0.8519 0.5532  1 Cd 2.70, 3 Li 2.96-2.98
Y 0.0000 0.0000 0.0000  6 Cd 3.15, 2 Li 3.23, 6 Mg 3.48-3.50
Mg 0.4230 0.4230 0.2728  4 Cd 2.95-3.27, 3 Li 3.13-3.14, 1 Mg 3.28
Mg 0.5770 0.5770 0.7272  4 Cd 2.95-3.27, 3 Li 3.13-3.14, 1 Mg 3.28
Cd 0.2748 0.2748 0.8207  1 Li 2.70, 3 Mg 2.95
Cd 0.7252 0.7252 0.1793  1 Li 2.70, 3 Mg 2.95



Magnetic moment for every record listed, in sequence, given in μB/f.u.: 5.76; 1.00; 0.00; 0.00; 0.00; 0.00.